# CrTeN2O

A relaxed CrTeN2O crystal (PBE+U, Alexandria via LeMat-Bulk).

a b c (Å): 3.537 3.537 5.522
angles (deg): 90.00 90.00 90.00
Fractional coordinates of all 5 atoms:
Te (0.000, 0.000, 0.500)
Cr (0.000, 0.000, 0.000)
N (0.500, 0.000, 0.000)
N (0.000, 0.500, 0.000)
O (0.500, 0.500, 0.500)

## Properties
energy	-5.56	eV per atom
symmetry	No. 123
total moment	0.000	μB per atom